[1]
The following is a DFT calculation (PBE) of a geometry-optimized Ti2ReBi structure.

- volume (Å³/atom) = 20.20
- size of the total moment (Bohr magnetons per cell) = 0.0
- energy of formation from the pure elements (eV/atom) = 0.441

Structure (extended XYZ):
```
8
Lattice="-6.0204 -4.4413 0.2187 0.3967 -0.9031 -7.4192 -1.1051 -4.9675 -3.2297" Properties=species:S:1:pos:R:3 pbc="T T T"
Re -2.8118 -2.6722 -3.6003
Re -1.7601 -4.2714 -7.1246
Bi 0.0000 0.0000 0.0000
Bi -4.9686 -6.0405 -3.3056
Ti -3.6594 -3.8871 -1.6101
Ti -1.1109 -2.6049 -5.4051
Ti -2.9160 -5.7792 -5.5291
Ti -5.7713 -8.3524 -8.3160
```



[2]
The following is a DFT calculation (PBE) of a geometry-optimized NaSmYCd structure.

- volume (Å³/atom) = 28.62
- size of the total moment (Bohr magnetons per cell) = 0.8
- energy of formation from the pure elements (eV/atom) = 0.015

Structure (extended XYZ):
```
4
Lattice="-4.5937 2.0975 -2.0495 -1.5887 -1.3255 -5.0420 -4.3603 -3.1862 -0.7340" Properties=species:S:1:pos:R:3 pbc="T T T"
Y -7.9070 -1.8106 -5.8692
Na -5.2713 -1.2071 -3.9128
Sm -2.6357 -0.6035 -1.9564
Cd 0.0000 0.0000 0.0000
```



[3]
The following is a DFT calculation (PBE) of a geometry-optimized CaLa3Ir structure.

- volume (Å³/atom) = 36.49
- size of the total moment (Bohr magnetons per cell) = 0.0
- energy of formation from the pure elements (eV/atom) = -0.011

Structure (extended XYZ):
```
10
Lattice="-1.7013 2.6441 -3.4136 -1.5791 -4.3236 0.5928 -13.8346 6.7108 12.0927" Properties=species:S:1:pos:R:3 pbc="T T T"
Ca 0.0000 0.0000 0.0000
Ca -6.9173 3.3554 6.0464
Ir -11.9957 3.0321 8.3269
Ir -5.1192 1.9992 0.9450
La -3.4586 1.6777 3.0232
La -10.3759 5.0331 9.0695
La -3.5336 -1.0727 0.9302
La -6.6233 0.4260 3.6309
La -10.4916 4.6053 5.6411
La -13.5813 6.1040 8.3417
```



[4]
The following is a DFT calculation (PBE) of a geometry-optimized KNa2CdF structure.

- volume (Å³/atom) = 26.67
- size of the total moment (Bohr magnetons per cell) = 0.0
- formation energy (no corrections) (meV per atom) = -992

Structure (extended XYZ):
```
5
Lattice="-2.9512 3.8600 1.2443 -3.4872 -1.6296 -3.2158 -2.1885 -2.9144 3.8501" Properties=species:S:1:pos:R:3 pbc="T T T"
Na -1.7436 -0.8148 -1.6079
Na -1.4756 1.9300 0.6221
K -1.0943 -1.4572 1.9250
F 0.0000 0.0000 0.0000
Cd -4.3135 -0.3420 0.9393
```



[5]
The following is a DFT calculation (PBE) of a geometry-optimized Y2Ir2O7 structure.

- volume (Å³/atom) = 12.28
- size of the total moment (Bohr magnetons per cell) = 1.2
- formation energy (no corrections) (meV per atom) = -2054

Structure (extended XYZ):
```
22
Lattice="-6.0117 0.8272 3.9799 -5.8787 -4.0072 -1.4308 -2.0453 -5.2171 4.6112" Properties=species:S:1:pos:R:3 pbc="T T T"
Y -4.7478 -0.6360 2.8850
Y -4.6813 -3.0532 0.1797
Y -2.7646 -3.6582 3.2006
Y -1.7420 -1.0496 0.8950
Ir -5.7039 -5.6618 2.4852
Ir -5.7704 -3.2446 5.1906
Ir -7.6871 -2.6396 2.1696
Ir -8.7098 -5.2482 4.4752
O -9.0542 -3.7668 3.1431
O -4.8814 -4.6302 4.0171
O -7.4294 -4.2796 5.7040
O -6.5062 -4.1174 1.4563
O -7.3731 -6.3287 3.4107
O -6.5626 -2.0684 3.7496
O -8.3653 -6.7295 5.8072
O -12.5381 -5.8661 4.9332
O -9.9901 -6.2167 3.2464
O -10.9133 -6.3789 7.4941
O -10.0465 -4.1677 5.5396
O -10.8570 -8.4280 5.2008
O -3.4839 -2.0993 1.7901
O 0.0000 0.0000 0.0000
```



[6]
The following is a DFT calculation (PBE) of a geometry-optimized Ni2Pd4Pt5 structure.

- volume (Å³/atom) = 15.41
- size of the total moment (Bohr magnetons per cell) = 3.0
- energy of formation from the pure elements (eV/atom) = 0.115

Structure (extended XYZ):
```
11
Lattice="4.3655 0.0000 -0.9355 0.3160 5.4315 1.4745 -0.5044 3.6672 8.2998" Properties=species:S:1:pos:R:3 pbc="T T T"
Ni 1.6073 6.1366 7.5003
Ni 2.5698 2.9622 1.3385
Pd 1.1253 5.0172 5.2510
Pd 0.3589 1.5635 1.6746
Pd 3.0518 4.0816 3.5877
Pd 3.8183 7.5353 7.1641
Pt 3.6553 4.7719 6.4038
Pt 0.5218 4.3269 2.4350
Pt 3.2495 6.6521 4.5100
Pt 2.1828 0.0000 -0.4678
Pt 0.9277 2.4467 4.3288
```



How do the records compare in energy? In the order shown, they have -0.2789 -0.1227 -0.1889 -0.0844 -0.2938 -0.2047 Ha/atom.
How do the records compare in density of states at the Fermi level? In the order shown, they have 0.60 1.31 1.76 0.48 0.51 1.77 states/eV/atom.